[1]
DFT (PBEsol) results for a relaxed ScTcTe2 crystal.

Values from the calculation:
- Formation energy (no corrections): -0.4247 eV per atom

Unit cell a=3.4889 b=3.4889 c=7.3439 alpha=90.00 beta=90.00 gamma=90.00
With the nearest neighbours (Å) after each atom.
Space group P4mm (No. 99)
Symmetry-distinct sites (fractional):
1 Sc 0.0000 0.0000 0.0000 [1 per cell]  5 Te 2.81-2.97, 4 Tc 2.95
2 Tc 0.5000 0.5000 0.2202 [1 per cell]  5 Te 2.81-2.96, 4 Sc 2.95
3 Te 0.0000 0.0000 0.4040 [1 per cell]  4 Tc 2.81, 1 Sc 2.97
4 Te 0.5000 0.5000 0.8174 [1 per cell]  4 Sc 2.81, 1 Tc 2.96

=====

[2]
DFT (PBEsol) results for a relaxed SmIO crystal.

Values from the calculation:
- Formation energy (no corrections): -2.6519 eV per atom

Unit cell a=3.9608 b=3.9608 c=32.6462 alpha=90.00 beta=90.00 gamma=120.00
With the nearest neighbours (Å) after each atom.
Space group R-3m (No. 166, hexagonal axes)
Symmetry-distinct sites (fractional):
1 Sm 0.0000 0.0000 0.2106 [6 per cell]  4 O 2.31-2.35
2 I 0.0000 0.0000 0.3889 [6 per cell]  3 Sm 3.17
3 O 0.0000 0.0000 0.1399 [6 per cell]  4 Sm 2.31-2.35

=====

[3]
DFT (PBEsol) results for a relaxed SrCu2Hg crystal.

Values from the calculation:
- Excess energy over the best structure of this formula in the dataset: 0 meV per atom
- Calculated formation energy: -0.12 eV/atom

Unit cell a=4.4486 b=4.4486 c=15.3075 alpha=90.00 beta=90.00 gamma=120.00
With the nearest neighbours (Å) after each atom.
Space group R-3m (No. 166, hexagonal axes)
Symmetry-distinct sites (fractional):
1 Sr 0.0000 0.0000 0.0000 [3 per cell]  2 Cu 2.96
2 Cu 0.0000 0.0000 0.1937 [6 per cell]  3 Hg 2.60, 3 Cu 2.70
3 Hg 0.0000 0.0000 0.5000 [3 per cell]  6 Cu 2.60

=====

[4]
DFT (PBEsol) results for a relaxed Zn2FeRe crystal.

Values from the calculation:
- Excess energy over the best structure of this formula in the dataset: 159 meV per atom
- Calculated formation energy: 0.17 eV/atom

Unit cell a=2.5780 b=4.2162 c=4.8530 alpha=90.00 beta=96.31 gamma=90.00
With the nearest neighbours (Å) after each atom.
Space group Pm (No. 6)
Symmetry-distinct sites (fractional):
1 Zn 0.0000 0.0000 0.0000 [1 per cell]  4 Zn 2.48-2.58, 2 Re 2.56-2.68, 2 Fe 2.61
2 Zn 0.0835 0.5000 0.7405 [1 per cell]  4 Zn 2.48-2.58, 2 Fe 2.51-2.74, 2 Re 2.69
3 Fe 0.6707 0.5000 0.2473 [1 per cell]  2 Re 2.49, 5 Zn 2.51-2.78, 2 Fe 2.58
4 Re 0.4820 0.0000 0.4899 [1 per cell]  2 Fe 2.49, 4 Zn 2.56-2.69, 2 Re 2.58

=====

[5]
DFT (PBEsol) results for a relaxed Si2Ru2Se crystal.

Values from the calculation:
- Formation energy (no corrections): -0.2631 eV per atom

Unit cell a=3.5075 b=3.5075 c=12.0299 alpha=90.00 beta=90.00 gamma=90.00
With the nearest neighbours (Å) after each atom.
Space group I4/mmm (No. 139)
Symmetry-distinct sites (fractional):
1 Si 0.0000 0.5000 0.2500 [4 per cell]  4 Ru 2.38, 4 Si 2.48
2 Ru 0.0000 0.0000 0.1165 [4 per cell]  4 Si 2.38
3 Se 0.0000 0.0000 0.5000 [2 per cell]  8 Ru 2.85

=====

[6]
DFT (PBEsol) results for a relaxed LaRe2W crystal.

Values from the calculation:
- Excess energy over the best structure of this formula in the dataset: 135 meV per atom
- Calculated formation energy: 0.61 eV/atom

Unit cell a=6.5103 b=6.5103 c=6.5103 alpha=90.00 beta=90.00 gamma=90.00
With the nearest neighbours (Å) after each atom.
Space group F-43m (No. 216)
Symmetry-distinct sites (fractional):
1 La 0.0000 0.0000 0.0000 [4 per cell]  4 W 2.82, 4 Re 2.82
2 Re 0.0000 0.0000 0.5000 [4 per cell]  4 Re 2.82, 4 W 2.82
3 Re 0.2500 0.2500 0.2500 [4 per cell]  4 La 2.82, 4 Re 2.82
4 W 0.2500 0.2500 0.7500 [4 per cell]  4 Re 2.82, 4 La 2.82

=====

[7]
DFT (PBEsol) results for a relaxed Dy4CrSe7 crystal.

Values from the calculation:
- Formation energy (no corrections): -1.5677 eV per atom

Unit cell a=12.7459 b=3.9038 c=11.7996 alpha=90.00 beta=106.03 gamma=90.00
With the nearest neighbours (Å) after each atom.
Space group Cm (No. 8)
Symmetry-distinct sites (fractional):
1 Dy 0.0000 0.0000 0.0000 [2 per cell]  6 Se 2.82-2.97
2 Dy 0.0671 0.5000 0.3425 [2 per cell]  6 Se 2.75-2.87
3 Dy 0.1955 0.5000 0.7857 [2 per cell]  6 Se 2.77-2.81
4 Dy 0.3876 0.0000 0.5879 [2 per cell]  7 Se 2.82-3.05
5 Cr 0.2980 0.5000 0.2048 [2 per cell]  6 Se 2.49-2.65
6 Se 0.0325 0.0000 0.7298 [2 per cell]  4 Dy 2.79-2.88
7 Se 0.1615 0.5000 0.0077 [2 per cell]  1 Cr 2.49, 1 Dy 2.77
8 Se 0.1763 0.0000 0.2499 [2 per cell]  2 Cr 2.64, 2 Dy 2.79
9 Se 0.2227 0.5000 0.5611 [2 per cell]  4 Dy 2.77-2.82
10 Se 0.3603 0.0000 0.8364 [2 per cell]  5 Dy 2.81-3.05
11 Se 0.4048 0.0000 0.1332 [2 per cell]  2 Cr 2.65, 1 Dy 2.75
12 Se 0.4340 0.5000 0.4153 [2 per cell]  1 Cr 2.61, 2 Dy 2.87

=====

[8]
DFT (PBEsol) results for a relaxed BiS2NCl crystal.

Values from the calculation:
- Formation energy (no corrections): 1.3008 eV per atom

Unit cell a=5.1804 b=5.1804 c=5.3788 alpha=90.00 beta=90.00 gamma=90.00
With the nearest neighbours (Å) after each atom.
Space group P4/mmm (No. 123)
Symmetry-distinct sites (fractional):
1 Bi 0.0000 0.0000 0.0000 [1 per cell]  4 S 2.59, 2 Cl 2.69
2 S 0.0000 0.5000 0.0000 [2 per cell]  2 Bi 2.59
3 N 0.5000 0.5000 0.5000 [1 per cell]  4 Cl 3.66, 8 S 3.73
4 Cl 0.0000 0.0000 0.5000 [1 per cell]  2 Bi 2.69

=====

[9]
DFT (PBEsol) results for a relaxed CoRh2Cl crystal.

Values from the calculation:
- Excess energy over the best structure of this formula in the dataset: 0 meV per atom
- Formation energy (no corrections): 0.3691 eV per atom

Unit cell a=2.8124 b=2.8124 c=6.8354 alpha=90.00 beta=90.00 gamma=90.00
With the nearest neighbours (Å) after each atom.
Space group P4/mmm (No. 123)
Symmetry-distinct sites (fractional):
1 Co 0.0000 0.0000 0.0000 [1 per cell]  8 Rh 2.53, 4 Co 2.81
2 Rh 0.5000 0.5000 0.2287 [2 per cell]  4 Co 2.53, 4 Cl 2.72, 4 Rh 2.81
3 Cl 0.0000 0.0000 0.5000 [1 per cell]  8 Rh 2.72, 4 Cl 2.81

=====

[10]
DFT (PBEsol) results for a relaxed ZnHg3 crystal.

Values from the calculation:
- Excess energy over the best structure of this formula in the dataset: 40 meV per atom
- Calculated formation energy: 0.09 eV/atom

Unit cell a=3.4546 b=4.3825 c=5.6328 alpha=90.00 beta=90.00 gamma=90.00
With the nearest neighbours (Å) after each atom.
Space group Pmm2 (No. 25)
Symmetry-distinct sites (fractional):
1 Zn 0.0000 0.0000 0.0000 [1 per cell]  8 Hg 2.87-3.17
2 Hg 0.0000 0.5000 0.6615 [1 per cell]  2 Zn 2.90, 6 Hg 2.99-3.09
3 Hg 0.5000 0.0000 0.4725 [1 per cell]  6 Hg 2.97-2.99, 2 Zn 3.17
4 Hg 0.5000 0.5000 0.1157 [1 per cell]  4 Zn 2.87, 4 Hg 2.97-3.09

=====

[11]
DFT (PBEsol) results for a relaxed BaScCuAg2 crystal.

Values from the calculation:
- Calculated formation energy: 1.73 eV/atom

Unit cell a=5.5077 b=5.5077 c=5.6719 alpha=90.00 beta=90.00 gamma=90.00
With the nearest neighbours (Å) after each atom.
Space group P4/mmm (No. 123)
Symmetry-distinct sites (fractional):
1 Ba 0.0000 0.0000 0.0000 [1 per cell]  4 Ag 2.75, 2 Sc 2.84
2 Sc 0.0000 0.0000 0.5000 [1 per cell]  2 Ba 2.84
3 Cu 0.5000 0.5000 0.5000 [1 per cell]  4 Sc 3.89, 8 Ag 3.95
4 Ag 0.0000 0.5000 0.0000 [2 per cell]  2 Ba 2.75

=====

[12]
DFT (PBEsol) results for a relaxed CaLaPt2 crystal.

Values from the calculation:
- Calculated formation energy: -0.99 eV/atom

Unit cell a=4.4058 b=3.9164 c=10.7320 alpha=90.00 beta=90.00 gamma=90.00
With the nearest neighbours (Å) after each atom.
Space group Amm2 (No. 38)
Symmetry-distinct sites (fractional):
1 Ca 0.0000 0.0000 0.0000 [2 per cell]  7 Pt 2.99-3.08
2 La 0.5000 0.0000 0.7200 [2 per cell]  7 Pt 2.96-3.10
3 Pt 0.0000 0.0000 0.2789 [2 per cell]  2 Pt 2.83, 3 Ca 2.99-3.08, 4 La 3.01
4 Pt 0.5000 0.0000 0.4442 [2 per cell]  2 Pt 2.83, 3 La 2.96-3.10, 4 Ca 3.01